# 1
Below is a relaxed structure of LiScBr4, with properties calculated at the PBE level.

Cell: 9.0315 9.0315 9.0315 Å, 90.00 90.00 90.00°
Space group F-43m (No. 216)
One atom of each set of equivalent atoms:
Li  0.0000  0.0000  0.0000 [4 per cell]
Sc  0.2500  0.2500  0.7500 [4 per cell]
Br  0.1248  0.1248  0.3752 [16 per cell]

Theoretical density ... 3.3 g cm⁻³
ΔE_f (raw) ... 103 meV/atom



# 2
Below is a relaxed structure of TlCuTeRh2, with properties calculated at the PBE level.

Cell: 5.0492 5.0492 5.6014 Å, 90.00 90.00 90.00°
Space group P4/mmm (No. 123)
One atom of each set of equivalent atoms:
Tl  0.0000  0.0000  0.0000 [1 per cell]
Cu  0.5000  0.5000  0.5000 [1 per cell]
Te  0.0000  0.0000  0.5000 [1 per cell]
Rh  0.0000  0.5000  0.0000 [2 per cell]

Theoretical density ... 7.0 g cm⁻³
ΔE_f (raw) ... 1572 meV/atom



# 3
Below is a relaxed structure of La2NdTh, with properties calculated at the PBE level.

Cell: 11.8778 3.6948 6.3958 Å, 90.00 90.00 90.00°
Space group Amm2 (No. 38)
One atom of each set of equivalent atoms:
La  0.2459  0.0000  0.0000 [4 per cell]
Nd  0.5000  0.0000  0.6661 [2 per cell]
Th  0.0000  0.0000  0.3343 [2 per cell]

Calculated formation energy ... 0.16 eV per formula unit
Theoretical density ... 7.7 g cm⁻³



# 4
Below is a relaxed structure of ScBe10Nb, with properties calculated at the PBE level.

Cell: 3.4351 4.5045 7.7303 Å, 90.00 90.00 90.00°
Space group Pmmm (No. 47)
One atom of each set of equivalent atoms:
Sc  0.0000  0.0000  0.0000 [1 per cell]
Be  0.0000  0.0000  0.3431 [2 per cell]
Be  0.0000  0.5000  0.1703 [2 per cell]
Be  0.5000  0.0000  0.5000 [1 per cell]
Be  0.5000  0.2588  0.2599 [4 per cell]
Be  0.5000  0.5000  0.0000 [1 per cell]
Nb  0.0000  0.5000  0.5000 [1 per cell]

Calculated formation energy ... -2.65 eV per formula unit
Theoretical density ... 3.2 g cm⁻³



# 5
Below is a relaxed structure of ErPdBr, with properties calculated at the PBE level.

Cell: 23.0258 3.9810 7.6256 Å, 90.00 94.28 90.00°
Space group C2/m (No. 12)
One atom of each set of equivalent atoms:
Er  0.1604  0.0000  0.0993 [4 per cell]
Er  0.1641  0.0000  0.6133 [4 per cell]
Pd  0.2447  0.5000  0.1230 [4 per cell]
Pd  0.2500  0.0000  0.3747 [4 per cell]
Br  0.0737  0.0000  0.3402 [4 per cell]
Br  0.0928  0.5000  0.8398 [4 per cell]

Theoretical density ... 6.7 g cm⁻³
ΔE_f (raw) ... -1118 meV/atom



# 6
Below is a relaxed structure of NaYSb2Te, with properties calculated at the PBE level.

Cell: 5.3277 5.3277 5.4513 Å, 90.00 90.00 90.00°
Space group P4/mmm (No. 123)
One atom of each set of equivalent atoms:
Na  0.0000  0.0000  0.0000 [1 per cell]
Y  0.5000  0.5000  0.5000 [1 per cell]
Sb  0.0000  0.5000  0.0000 [2 per cell]
Te  0.0000  0.0000  0.5000 [1 per cell]

Theoretical density ... 5.2 g cm⁻³
ΔE_f (raw) ... 242 meV/atom



# 7
Below is a relaxed structure of PuNiGe3, with properties calculated at the PBE level.

Cell: 4.5010 14.9069 5.7464 Å, 90.00 90.00 90.00°
Space group Cmcm (No. 63)
One atom of each set of equivalent atoms:
Pu  0.0000  0.1077  0.2500 [4 per cell]
Ni  0.0000  0.4336  0.2500 [4 per cell]
Ge  0.0000  0.0882  0.7500 [4 per cell]
Ge  0.0000  0.2957  0.0139 [8 per cell]

Calculated formation energy ... -0.53 eV per formula unit
Theoretical density ... 9.0 g cm⁻³



# 8
Below is a relaxed structure of La2InSi, with properties calculated at the PBE level.

Cell: 3.4681 3.4681 9.0919 Å, 90.00 90.00 90.00°
Space group P4/mmm (No. 123)
One atom of each set of equivalent atoms:
La  0.0000  0.0000  0.2205 [2 per cell]
In  0.5000  0.5000  0.5000 [1 per cell]
Si  0.5000  0.5000  0.0000 [1 per cell]

Theoretical density ... 6.4 g cm⁻³
ΔE_f (raw) ... -506 meV/atom



# 9
Below is a relaxed structure of MgAlAg2Te4, with properties calculated at the PBE level.

Cell: 6.4109 6.4109 12.6214 Å, 90.00 90.00 90.00°
Space group I-4 (No. 82)
One atom of each set of equivalent atoms:
Mg  0.0000  0.0000  0.0000 [2 per cell]
Al  0.0000  0.5000  0.7500 [2 per cell]
Ag  0.0000  0.0000  0.5000 [2 per cell]
Ag  0.0000  0.5000  0.2500 [2 per cell]
Te  0.2384  0.7425  0.6300 [8 per cell]

Theoretical density ... 5.0 g cm⁻³
ΔE_f (raw) ... -358 meV/atom



# 10
Below is a relaxed structure of Na2InNF, with properties calculated at the PBE level.

Cell: 5.9071 5.9071 3.9976 Å, 90.00 90.00 90.00°
Space group P4/mmm (No. 123)
One atom of each set of equivalent atoms:
Na  0.0000  0.5000  0.0000 [2 per cell]
In  0.0000  0.0000  0.0000 [1 per cell]
N  0.0000  0.0000  0.5000 [1 per cell]
F  0.5000  0.5000  0.5000 [1 per cell]

Theoretical density ... 2.3 g cm⁻³
ΔE_f (raw) ... -100 meV/atom



# 11
Below is a relaxed structure of AlTcSb2, with properties calculated at the PBE level.

Cell: 6.8076 6.8076 6.8076 Å, 90.00 90.00 90.00°
Space group F-43m (No. 216)
One atom of each set of equivalent atoms:
Al  0.0000  0.0000  0.0000 [4 per cell]
Tc  0.2500  0.2500  0.7500 [4 per cell]
Sb  0.0000  0.0000  0.5000 [4 per cell]
Sb  0.2500  0.2500  0.2500 [4 per cell]

Theoretical density ... 7.8 g cm⁻³
ΔE_f (raw) ... 508 meV/atom



# 12
Below is a relaxed structure of CdRuRh2, with properties calculated at the PBE level.

Cell: 3.9064 3.9064 8.0395 Å, 90.00 90.00 90.00°
Space group I-4m2 (No. 119)
One atom of each set of equivalent atoms:
Cd  0.0000  0.0000  0.0000 [2 per cell]
Ru  0.0000  0.5000  0.2500 [2 per cell]
Rh  0.0000  0.0000  0.5000 [2 per cell]
Rh  0.0000  0.5000  0.7500 [2 per cell]

Calculated formation energy ... 0.77 eV per formula unit
Theoretical density ... 11.4 g cm⁻³



# 13
Below is a relaxed structure of Mg3GaBr, with properties calculated at the PBE level.

Cell: 5.1375 5.1375 5.1375 Å, 90.00 90.00 90.00°
Space group Pm-3m (No. 221)
One atom of each set of equivalent atoms:
Mg  0.0000  0.0000  0.5000 [3 per cell]
Ga  0.0000  0.0000  0.0000 [1 per cell]
Br  0.5000  0.5000  0.5000 [1 per cell]

Theoretical density ... 2.7 g cm⁻³
ΔE_f (raw) ... -240 meV/atom



# 14
Below is a relaxed structure of KNdTiO4, with properties calculated at the PBE level.

Cell: 6.1219 6.0794 7.5198 Å, 90.00 103.98 90.00°
Space group P2_1/m (No. 11)
One atom of each set of equivalent atoms:
K  0.1747  0.2500  0.4097 [2 per cell]
Nd  0.3055  0.2500  0.9463 [2 per cell]
Ti  0.2226  0.7500  0.1632 [2 per cell]
O  0.0186  0.7500  0.3053 [2 per cell]
O  0.0357  0.7500  0.9398 [2 per cell]
O  0.4262  0.5207  0.1732 [4 per cell]

Theoretical density ... 3.6 g cm⁻³
ΔE_f (raw) ... -2880 meV/atom



# 15
Below is a relaxed structure of Re2WSe, with properties calculated at the PBE level.

Cell: 2.9645 4.5497 4.6023 Å, 90.00 90.00 90.00°
Space group Pmmm (No. 47)
One atom of each set of equivalent atoms:
Re  0.0000  0.0000  0.0000 [1 per cell]
Re  0.5000  0.0000  0.5000 [1 per cell]
W  0.0000  0.5000  0.5000 [1 per cell]
Se  0.5000  0.5000  0.0000 [1 per cell]

Theoretical density ... 17.0 g cm⁻³
ΔE_f (raw) ... 543 meV/atom



# 16
Below is a relaxed structure of Sr3Tb3HoTe8, with properties calculated at the PBE level.

Cell: 8.8957 8.8957 22.9098 Å, 90.00 90.00 120.00°
Space group R-3m (No. 166, hexagonal axes)
One atom of each set of equivalent atoms:
Sr  0.0000  0.5000  0.0000 [9 per cell]
Tb  0.0000  0.5000  0.5000 [9 per cell]
Ho  0.0000  0.0000  0.5000 [3 per cell]
Te  0.0000  0.0000  0.2440 [6 per cell]
Te  0.0021  0.5010  0.7564 [18 per cell]

Theoretical density ... 6.1 g cm⁻³
ΔE_f (raw) ... -1520 meV/atom



# 17
Below is a relaxed structure of BC2, with properties calculated at the PBE level.

Cell: 12.2181 2.4969 5.1248 Å, 90.00 102.65 90.00°
Space group Cm (No. 8)
One atom of each set of equivalent atoms:
B  0.0000  0.0000  0.0000 [2 per cell]
B  0.0083  0.0000  0.5049 [2 per cell]
B  0.1029  0.5000  0.0227 [2 per cell]
B  0.1849  0.5000  0.3565 [2 per cell]
C  0.1014  0.5000  0.5554 [2 per cell]
C  0.1899  0.5000  0.8337 [2 per cell]
C  0.2652  0.0000  0.8738 [2 per cell]
C  0.2709  0.0000  0.3789 [2 per cell]
C  0.3430  0.0000  0.1681 [2 per cell]
C  0.3447  0.0000  0.6679 [2 per cell]
C  0.4169  0.5000  0.7027 [2 per cell]
C  0.4181  0.5000  0.2067 [2 per cell]

Calculated formation energy ... 1.10 eV per formula unit
Theoretical density ... 3.0 g cm⁻³



# 18
Below is a relaxed structure of Ac14ErTl, with properties calculated at the PBE level.

Cell: 11.1453 11.0365 11.0346 Å, 90.00 90.00 90.00°
Space group Amm2 (No. 38)
One atom of each set of equivalent atoms:
Ac  0.0000  0.0000  0.0001 [2 per cell]
Ac  0.0000  0.0000  0.5000 [2 per cell]
Ac  0.0000  0.2494  0.2499 [4 per cell]
Ac  0.2569  0.0000  0.7497 [4 per cell]
Ac  0.2585  0.0000  0.2506 [4 per cell]
Ac  0.2577  0.2499  0.0000 [8 per cell]
Ac  0.5000  0.2489  0.7499 [4 per cell]
Er  0.5000  0.0000  0.0001 [2 per cell]
Tl  0.5000  0.0000  0.4999 [2 per cell]

Calculated formation energy ... -0.14 eV per formula unit
Theoretical density ... 8.7 g cm⁻³



# 19
Below is a relaxed structure of MoRhW, with properties calculated at the PBE level.

Cell: 2.7294 3.9652 8.5775 Å, 90.00 90.00 90.00°
Space group Imm2 (No. 44)
One atom of each set of equivalent atoms:
Mo  0.0000  0.0000  0.0000 [2 per cell]
Rh  0.0000  0.0000  0.3340 [2 per cell]
W  0.0000  0.0000  0.6705 [2 per cell]

Calculated formation energy ... 0.27 eV per formula unit
Theoretical density ... 13.7 g cm⁻³



# 20
Below is a relaxed structure of Ce2PaOsN4, with properties calculated at the PBE level.

Cell: 6.1237 6.1237 6.1412 Å, 90.00 90.00 90.00°
Space group I-42m (No. 121)
One atom of each set of equivalent atoms:
Ce  0.0000  0.5000  0.0000 [4 per cell]
Pa  0.0000  0.0000  0.0000 [2 per cell]
Os  0.0000  0.0000  0.5000 [2 per cell]
N  0.1775  0.1775  0.2831 [8 per cell]

Theoretical density ... 10.9 g cm⁻³
ΔE_f (raw) ... -499 meV/atom